# 1
The following is a PBE calculation of DyTcH4 after structural relaxation, from Alexandria via LeMat-Bulk.

Values from the calculation:
E above lowest polymorph   0.058 eV per atom
E_tot   -4.97 eV/atom

Cell lengths 6.051, 10.362, 4.492 Å; angles 90.00, 124.67, 90.00 degrees
Space group C2/c (No. 15)
Unique sites:
Dy 0.000 0.134 0.250 (multiplicity 4)
Tc 0.000 0.424 0.750 (multiplicity 4)
H 0.141 0.288 0.686 (multiplicity 8)
H 0.237 0.464 0.224 (multiplicity 8)


# 2
The following is a PBE calculation of HfMnRh3 after structural relaxation, from Alexandria via LeMat-Bulk.

Values from the calculation:
E above lowest polymorph   0.000 eV per atom
E_tot   -7.78 eV/atom
ΔE_f   0.45 eV/atom

Cell lengths 4.432, 4.432, 4.432 Å; angles 90.00, 90.00, 90.00 degrees
Space group Pm-3m (No. 221)
Unique sites:
Hf 0.000 0.000 0.000 (multiplicity 1)
Mn 0.500 0.500 0.500 (multiplicity 1)
Rh 0.000 0.500 0.500 (multiplicity 3)


# 3
The following is a PBE calculation of GaIr2C after structural relaxation, from Alexandria via LeMat-Bulk.

Values from the calculation:
E above lowest polymorph   0.089 eV per atom
E_tot   -7.35 eV/atom
ΔE_f   0.14 eV/atom

Cell lengths 12.229, 2.799, 6.635 Å; angles 90.00, 101.43, 90.00 degrees
Space group Cm (No. 8)
Unique sites:
Ga 0.000 0.000 0.000 (multiplicity 2)
Ga 0.179 0.500 0.630 (multiplicity 2)
Ir 0.147 0.500 0.238 (multiplicity 2)
Ir 0.289 0.500 0.985 (multiplicity 2)
Ir 0.381 0.000 0.698 (multiplicity 2)
Ir 0.497 0.500 0.437 (multiplicity 2)
C 0.278 0.000 0.223 (multiplicity 2)
C 0.373 0.000 0.390 (multiplicity 2)


# 4
The following is a PBE calculation of EuZnAu2 after structural relaxation, from Alexandria via LeMat-Bulk.

Values from the calculation:
E_tot   -5.01 eV/atom
ΔE_f   -0.49 eV/atom

Cell lengths 3.489, 3.489, 6.953 Å; angles 90.00, 90.00, 90.00 degrees
Space group P4/mmm (No. 123)
Unique sites:
Eu 0.000 0.000 0.000 (multiplicity 1)
Zn 0.000 0.000 0.500 (multiplicity 1)
Au 0.500 0.500 0.293 (multiplicity 2)


# 5
The following is a PBE calculation of ReNiP2 after structural relaxation, from Alexandria via LeMat-Bulk.

Values from the calculation:
E above lowest polymorph   0.257 eV per atom
E_tot   -7.26 eV/atom
ΔE_f   0.00 eV/atom

Cell lengths 2.9652, 2.9652, 21.2673 Å; angles 90.00, 90.00, 120.00 degrees
Space group R3m (No. 160, hexagonal axes)
Unique sites:
Re 0.0000 0.0000 0.0000 (multiplicity 3)
Ni 0.0000 0.0000 0.7703 (multiplicity 3)
P 0.0000 0.0000 0.2563 (multiplicity 3)
P 0.0000 0.0000 0.5018 (multiplicity 3)


# 6
The following is a PBE calculation of Li3Mg3Tl after structural relaxation, from Alexandria via LeMat-Bulk.

Values from the calculation:
E above lowest polymorph   0.000 eV per atom
E_tot   -1.91 eV/atom
ΔE_f   -0.07 eV/atom

Cell lengths 8.1852, 8.1852, 5.1868 Å; angles 90.00, 90.00, 120.00 degrees
Space group P6_3/m (No. 176)
Unique sites:
Li 0.0553 0.8157 0.2500 (multiplicity 6)
Mg 0.0947 0.6289 0.7500 (multiplicity 6)
Tl 0.3333 0.6667 0.2500 (multiplicity 2)


# 7
The following is a PBE calculation of Tb3Ga2Rh4 after structural relaxation, from Alexandria via LeMat-Bulk.

Values from the calculation:
E_tot   -6.19 eV/atom
ΔE_f   -0.70 eV/atom

Cell lengths 13.752, 10.272, 5.135 Å; angles 90.00, 105.37, 90.00 degrees
Space group C2/c (No. 15)
Unique sites:
Tb 0.000 0.105 0.250 (multiplicity 4)
Tb 0.137 0.379 0.002 (multiplicity 8)
Ga 0.219 0.134 0.384 (multiplicity 8)
Rh 0.089 0.331 0.471 (multiplicity 8)
Rh 0.148 0.095 0.840 (multiplicity 8)


# 8
The following is a PBE calculation of ErTmCoPd after structural relaxation, from Alexandria via LeMat-Bulk.

Values from the calculation:
E above lowest polymorph   0.037 eV per atom
E_tot   -5.88 eV/atom
ΔE_f   -0.55 eV/atom

Cell lengths 6.774, 6.774, 6.774 Å; angles 90.00, 90.00, 90.00 degrees
Space group F-43m (No. 216)
Unique sites:
Er 0.000 0.000 0.000 (multiplicity 4)
Tm 0.000 0.000 0.500 (multiplicity 4)
Co 0.250 0.250 0.250 (multiplicity 4)
Pd 0.250 0.250 0.750 (multiplicity 4)


# 9
The following is a PBE calculation of Li2Ac3Nd2Hg4 after structural relaxation, from Alexandria via LeMat-Bulk.

Values from the calculation:
E_tot   -2.70 eV/atom
ΔE_f   -0.26 eV/atom

Cell lengths 5.1506, 5.1506, 15.0060 Å; angles 90.00, 90.00, 120.00 degrees
Space group P-3m1 (No. 164)
Unique sites:
Li 0.3333 0.6667 0.1337 (multiplicity 2)
Ac 0.0000 0.0000 0.0000 (multiplicity 1)
Ac 0.0000 0.0000 0.2487 (multiplicity 2)
Nd 0.3333 0.6667 0.5741 (multiplicity 2)
Hg 0.3333 0.6667 0.3601 (multiplicity 2)
Hg 0.3333 0.6667 0.8731 (multiplicity 2)


# 10
The following is a PBE calculation of Sr2CdHg5 after structural relaxation, from Alexandria via LeMat-Bulk.

Values from the calculation:
E above lowest polymorph   0.000 eV per atom
E_tot   -1.08 eV/atom
ΔE_f   -0.36 eV/atom

Cell lengths 9.548, 9.824, 6.809 Å; angles 90.00, 134.03, 90.00 degrees
Space group Cm (No. 8)
Unique sites:
Sr 0.000 0.250 0.000 (multiplicity 4)
Cd 0.276 0.000 0.501 (multiplicity 2)
Hg 0.000 0.237 0.500 (multiplicity 4)
Hg 0.230 0.500 0.500 (multiplicity 2)
Hg 0.240 0.000 0.978 (multiplicity 2)
Hg 0.260 0.500 0.021 (multiplicity 2)


# 11
The following is a PBE calculation of MgB2PN after structural relaxation, from Alexandria via LeMat-Bulk.

Values from the calculation:
E_tot   -3.39 eV/atom

Cell lengths 4.397, 4.397, 3.783 Å; angles 90.00, 90.00, 90.00 degrees
Space group P4/mmm (No. 123)
Unique sites:
Mg 0.000 0.000 0.000 (multiplicity 1)
B 0.000 0.500 0.000 (multiplicity 2)
P 0.500 0.500 0.500 (multiplicity 1)
N 0.000 0.000 0.500 (multiplicity 1)


# 12
The following is a PBE calculation of TaTlOs2O8 after structural relaxation, from Alexandria via LeMat-Bulk.

Values from the calculation:
E_tot   -7.58 eV/atom

Cell lengths 5.6807, 5.6807, 7.8496 Å; angles 90.00, 90.00, 120.00 degrees
Space group P-3m1 (No. 164)
Unique sites:
Ta 0.0000 0.0000 0.0000 (multiplicity 1)
Tl 0.0000 0.0000 0.5000 (multiplicity 1)
Os 0.3333 0.6667 0.2538 (multiplicity 2)
O 0.1649 0.3297 0.1461 (multiplicity 6)
O 0.3333 0.6667 0.4779 (multiplicity 2)


# 13
The following is a PBE calculation of Ba2Mg6In3 after structural relaxation, from Alexandria via LeMat-Bulk.

Values from the calculation:
E_tot   -2.16 eV/atom
ΔE_f   -0.19 eV/atom

Cell lengths 9.0209, 9.0209, 4.7825 Å; angles 90.00, 90.00, 120.00 degrees
Space group P-62m (No. 189)
Unique sites:
Ba 0.3333 0.6667 0.0000 (multiplicity 2)
Mg 0.0000 0.2816 0.5000 (multiplicity 3)
Mg 0.0000 0.8052 0.0000 (multiplicity 3)
In 0.0000 0.6194 0.5000 (multiplicity 3)


# 14
The following is a PBE calculation of MgIn3 after structural relaxation, from Alexandria via LeMat-Bulk.

Values from the calculation:
E_tot   -2.47 eV/atom
ΔE_f   -0.01 eV/atom

Cell lengths 3.270, 5.544, 5.655 Å; angles 90.00, 90.00, 90.00 degrees
Space group Pmm2 (No. 25)
Unique sites:
Mg 0.000 0.000 0.000 (multiplicity 1)
In 0.000 0.500 0.666 (multiplicity 1)
In 0.500 0.000 0.500 (multiplicity 1)
In 0.500 0.500 0.164 (multiplicity 1)


# 15
The following is a PBE calculation of AcTbDy6 after structural relaxation, from Alexandria via LeMat-Bulk.

Values from the calculation:
E above lowest polymorph   0.358 eV per atom
E_tot   -4.14 eV/atom
ΔE_f   0.40 eV/atom

Cell lengths 9.625, 6.996, 8.915 Å; angles 90.00, 102.96, 90.00 degrees
Space group C2/m (No. 12)
Unique sites:
Ac 0.000 0.000 0.000 (multiplicity 2)
Tb 0.000 0.500 0.500 (multiplicity 2)
Dy 0.123 0.500 0.919 (multiplicity 4)
Dy 0.220 0.262 0.301 (multiplicity 8)


# 16
The following is a PBE calculation of InHg2Cl after structural relaxation, from Alexandria via LeMat-Bulk.

Values from the calculation:
E above lowest polymorph   0.046 eV per atom
E_tot   -1.65 eV/atom

Cell lengths 10.517, 4.171, 6.763 Å; angles 90.00, 112.82, 90.00 degrees
Space group Cm (No. 8)
Unique sites:
In 0.000 0.000 0.000 (multiplicity 2)
Hg 0.224 0.000 0.798 (multiplicity 2)
Hg 0.445 0.000 0.568 (multiplicity 2)
Cl 0.155 0.500 0.253 (multiplicity 2)


# 17
The following is a PBE calculation of TbScSe2 after structural relaxation, from Alexandria via LeMat-Bulk.

Values from the calculation:
E above lowest polymorph   0.000 eV per atom
E_tot   -6.17 eV/atom

Cell lengths 3.8910, 3.8910, 20.6405 Å; angles 90.00, 90.00, 120.00 degrees
Space group R3m (No. 160, hexagonal axes)
Unique sites:
Tb 0.0000 0.0000 0.0000 (multiplicity 3)
Sc 0.0000 0.0000 0.1763 (multiplicity 3)
Se 0.0000 0.0000 0.5804 (multiplicity 3)
Se 0.0000 0.0000 0.7604 (multiplicity 3)


# 18
The following is a PBE calculation of LiGe2Ru2 after structural relaxation, from Alexandria via LeMat-Bulk.

Values from the calculation:
E_tot   -5.91 eV/atom
ΔE_f   0.03 eV/atom

Cell lengths 4.041, 4.041, 10.615 Å; angles 90.00, 90.00, 90.00 degrees
Space group I4/mmm (No. 139)
Unique sites:
Li 0.000 0.000 0.000 (multiplicity 2)
Ge 0.000 0.500 0.250 (multiplicity 4)
Ru 0.000 0.000 0.384 (multiplicity 4)


# 19
The following is a PBE calculation of Ta2CoW after structural relaxation, from Alexandria via LeMat-Bulk.

Values from the calculation:
E above lowest polymorph   0.666 eV per atom
E_tot   -10.36 eV/atom
ΔE_f   0.58 eV/atom

Cell lengths 7.058, 7.058, 5.378 Å; angles 90.00, 90.00, 90.00 degrees
Space group I-42d (No. 122)
Unique sites:
Ta 0.222 0.250 0.125 (multiplicity 8)
Co 0.000 0.000 0.000 (multiplicity 4)
W 0.000 0.000 0.500 (multiplicity 4)


# 20
The following is a PBE calculation of Nb2CrTcN after structural relaxation, from Alexandria via LeMat-Bulk.

Values from the calculation:
E_tot   -10.06 eV/atom

Cell lengths 4.388, 4.388, 3.617 Å; angles 90.00, 90.00, 90.00 degrees
Space group P4/mmm (No. 123)
Unique sites:
Nb 0.000 0.500 0.000 (multiplicity 2)
Cr 0.000 0.000 0.500 (multiplicity 1)
Tc 0.500 0.500 0.500 (multiplicity 1)
N 0.000 0.000 0.000 (multiplicity 1)


# 21
The following is a PBE calculation of CsTaPb3 after structural relaxation, from Alexandria via LeMat-Bulk.

Values from the calculation:
E above lowest polymorph   2.179 eV per atom
E_tot   -2.40 eV/atom
ΔE_f   2.37 eV/atom

Cell lengths 6.004, 6.004, 6.004 Å; angles 90.00, 90.00, 90.00 degrees
Space group Pm-3m (No. 221)
Unique sites:
Cs 0.000 0.000 0.000 (multiplicity 1)
Ta 0.500 0.500 0.500 (multiplicity 1)
Pb 0.000 0.000 0.500 (multiplicity 3)


# 22
The following is a PBE calculation of MgInW after structural relaxation, from Alexandria via LeMat-Bulk.

Values from the calculation:
E above lowest polymorph   0.030 eV per atom
E_tot   -5.31 eV/atom
ΔE_f   0.46 eV/atom

Cell lengths 3.0015, 3.0015, 7.4055 Å; angles 90.00, 90.00, 120.00 degrees
Space group P3m1 (No. 156)
Unique sites:
Mg 0.0000 0.0000 0.0000 (multiplicity 1)
In 0.3333 0.6667 0.6435 (multiplicity 1)
W 0.6667 0.3333 0.3142 (multiplicity 1)


# 23
The following is a PBE calculation of ScTaHg2 after structural relaxation, from Alexandria via LeMat-Bulk.

Values from the calculation:
E above lowest polymorph   0.000 eV per atom
E_tot   -4.65 eV/atom
ΔE_f   0.04 eV/atom

Cell lengths 3.086, 3.086, 8.432 Å; angles 90.00, 90.00, 90.00 degrees
Space group P4/mmm (No. 123)
Unique sites:
Sc 0.000 0.000 0.000 (multiplicity 1)
Ta 0.000 0.000 0.500 (multiplicity 1)
Hg 0.500 0.500 0.252 (multiplicity 2)


# 24
The following is a PBE calculation of SmHoGeIr after structural relaxation, from Alexandria via LeMat-Bulk.

Values from the calculation:
E_tot   -6.52 eV/atom
ΔE_f   -0.83 eV/atom

Cell lengths 4.103, 4.150, 10.764 Å; angles 90.00, 90.00, 90.00 degrees
Space group Amm2 (No. 38)
Unique sites:
Sm 0.000 0.000 0.000 (multiplicity 2)
Ho 0.500 0.000 0.281 (multiplicity 2)
Ge 0.500 0.000 0.574 (multiplicity 2)
Ir 0.000 0.000 0.725 (multiplicity 2)


# 25
The following is a PBE calculation of ZrV3Ga after structural relaxation, from Alexandria via LeMat-Bulk.

Values from the calculation:
E above lowest polymorph   0.704 eV per atom
E_tot   -6.19 eV/atom
ΔE_f   1.59 eV/atom

Cell lengths 4.633, 4.633, 4.633 Å; angles 90.00, 90.00, 90.00 degrees
Space group Pm-3m (No. 221)
Unique sites:
Zr 0.000 0.000 0.000 (multiplicity 1)
V 0.000 0.000 0.500 (multiplicity 3)
Ga 0.500 0.500 0.500 (multiplicity 1)


# 26
The following is a PBE calculation of ScPRhCl2 after structural relaxation, from Alexandria via LeMat-Bulk.

Values from the calculation:
E above lowest polymorph   0.000 eV per atom
E_tot   -4.75 eV/atom

Cell lengths 4.632, 4.632, 4.857 Å; angles 90.00, 90.00, 90.00 degrees
Space group P4/mmm (No. 123)
Unique sites:
Sc 0.000 0.000 0.000 (multiplicity 1)
P 0.500 0.500 0.000 (multiplicity 1)
Rh 0.500 0.500 0.500 (multiplicity 1)
Cl 0.000 0.500 0.500 (multiplicity 2)